Entry 1:
# Ta2VOs

A PBEsol-optimized structure of Ta2VOs (meta-GGA SCAN, the Alexandria database).

Unit cell a=6.270 b=6.270 c=6.270 alpha=90.00 beta=90.00 gamma=90.00
Space group Fm-3m (No. 225)
Asymmetric unit:
Ta (0.250, 0.250, 0.250) (multiplicity 8)
V (0.000, 0.000, 0.000) (multiplicity 4)
Os (0.000, 0.000, 0.500) (multiplicity 4)

Calculated values
DOS(E_F): 0.604 states/eV/atom


Entry 2:
# TaOsW

A PBEsol-optimized structure of TaOsW (meta-GGA SCAN, the Alexandria database).

Unit cell a=2.849 b=2.849 c=11.762 alpha=90.00 beta=90.00 gamma=90.00
Space group I4mm (No. 107)
Asymmetric unit:
Ta (0.000, 0.000, 0.000) (multiplicity 2)
Os (0.000, 0.000, 0.335) (multiplicity 2)
W (0.000, 0.000, 0.686) (multiplicity 2)

Calculated values
DOS(E_F): 0.904 states/eV/atom
ΔE to the lowest computed polymorph: 0 meV/atom


Entry 3:
# TaOs2W

A PBEsol-optimized structure of TaOs2W (meta-GGA SCAN, the Alexandria database).

Unit cell a=2.754 b=4.227 c=5.422 alpha=90.00 beta=104.16 gamma=90.00
Space group P2/m (No. 10)
Asymmetric unit:
Ta (0.000, 0.000, 0.000) (multiplicity 1)
Os (0.414, 0.500, 0.248) (multiplicity 2)
W (0.000, 0.000, 0.500) (multiplicity 1)

Calculated values
DOS(E_F): 0.807 states/eV/atom
ΔE to the lowest computed polymorph: 0 meV/atom


Entry 4:
# TaOs2W

A PBEsol-optimized structure of TaOs2W (meta-GGA SCAN, the Alexandria database).

Unit cell a=2.7971 b=2.7971 c=27.0474 alpha=90.00 beta=90.00 gamma=120.00
Space group R-3m (No. 166, hexagonal axes)
Asymmetric unit:
Ta (0.0000, 0.0000, 0.0000) (multiplicity 3)
Os (0.0000, 0.0000, 0.2477) (multiplicity 6)
W (0.0000, 0.0000, 0.5000) (multiplicity 3)

Calculated values
DOS(E_F): 0.945 states/eV/atom
ΔE to the lowest computed polymorph: 91 meV/atom


Entry 5:
# TaOsW

A PBEsol-optimized structure of TaOsW (meta-GGA SCAN, the Alexandria database).

Unit cell a=6.059 b=6.059 c=6.059 alpha=90.00 beta=90.00 gamma=90.00
Space group F-43m (No. 216)
Asymmetric unit:
Ta (0.000, 0.000, 0.000) (multiplicity 4)
Os (0.250, 0.250, 0.750) (multiplicity 4)
W (0.250, 0.250, 0.250) (multiplicity 4)

Calculated values
DOS(E_F): 1.609 states/eV/atom
ΔE to the lowest computed polymorph: 953 meV/atom


Entry 6:
# YTaOs3

A PBEsol-optimized structure of YTaOs3 (meta-GGA SCAN, the Alexandria database).

Unit cell a=4.638 b=4.638 c=4.638 alpha=90.00 beta=90.00 gamma=90.00
Space group Pm-3m (No. 221)
Asymmetric unit:
Y (0.000, 0.000, 0.000) (multiplicity 1)
Ta (0.500, 0.500, 0.500) (multiplicity 1)
Os (0.000, 0.000, 0.500) (multiplicity 3)

Calculated values
DOS(E_F): 1.277 states/eV/atom


Entry 7:
# Y3TaOs

A PBEsol-optimized structure of Y3TaOs (meta-GGA SCAN, the Alexandria database).

Unit cell a=5.155 b=5.155 c=5.155 alpha=90.00 beta=90.00 gamma=90.00
Space group Pm-3m (No. 221)
Asymmetric unit:
Y (0.000, 0.000, 0.500) (multiplicity 3)
Ta (0.000, 0.000, 0.000) (multiplicity 1)
Os (0.500, 0.500, 0.500) (multiplicity 1)

Calculated values
DOS(E_F): 0.995 states/eV/atom


Entry 8:
# TaZnOs2

A PBEsol-optimized structure of TaZnOs2 (meta-GGA SCAN, the Alexandria database).

Unit cell a=8.780 b=2.801 c=4.863 alpha=90.00 beta=99.96 gamma=90.00
Space group C2/m (No. 12)
Asymmetric unit:
Ta (0.000, 0.000, 0.000) (multiplicity 2)
Zn (0.000, 0.500, 0.500) (multiplicity 2)
Os (0.249, 0.000, 0.733) (multiplicity 4)

Calculated values
DOS(E_F): 0.517 states/eV/atom


Entry 9:
# TaZnOs2

A PBEsol-optimized structure of TaZnOs2 (meta-GGA SCAN, the Alexandria database).

Unit cell a=4.260 b=4.260 c=3.220 alpha=90.00 beta=90.00 gamma=90.00
Space group P4/mmm (No. 123)
Asymmetric unit:
Ta (0.000, 0.000, 0.000) (multiplicity 1)
Zn (0.500, 0.500, 0.000) (multiplicity 1)
Os (0.000, 0.500, 0.500) (multiplicity 2)

Calculated values
DOS(E_F): 0.837 states/eV/atom


Entry 10:
# TaZnOs2

A PBEsol-optimized structure of TaZnOs2 (meta-GGA SCAN, the Alexandria database).

Unit cell a=9.677 b=3.167 c=4.222 alpha=90.00 beta=115.15 gamma=90.00
Space group Cm (No. 8)
Asymmetric unit:
Ta (0.000, 0.000, 0.000) (multiplicity 2)
Zn (0.242, 0.000, 0.724) (multiplicity 2)
Os (0.247, 0.500, 0.230) (multiplicity 2)
Os (0.498, 0.000, 0.500) (multiplicity 2)

Calculated values
DOS(E_F): 0.553 states/eV/atom


Entry 11:
# TaZnOs3

A PBEsol-optimized structure of TaZnOs3 (meta-GGA SCAN, the Alexandria database).

Unit cell a=4.697 b=4.697 c=4.697 alpha=90.00 beta=90.00 gamma=90.00
Space group Pm-3m (No. 221)
Asymmetric unit:
Ta (0.000, 0.000, 0.000) (multiplicity 1)
Zn (0.500, 0.500, 0.500) (multiplicity 1)
Os (0.000, 0.000, 0.500) (multiplicity 3)

Calculated values
DOS(E_F): 1.024 states/eV/atom


Entry 12:
# TaZn2Os

A PBEsol-optimized structure of TaZn2Os (meta-GGA SCAN, the Alexandria database).

Unit cell a=3.233 b=3.233 c=5.527 alpha=90.00 beta=90.00 gamma=90.00
Space group P4/mmm (No. 123)
Asymmetric unit:
Ta (0.000, 0.000, 0.000) (multiplicity 1)
Zn (0.500, 0.500, 0.268) (multiplicity 2)
Os (0.000, 0.000, 0.500) (multiplicity 1)

Calculated values
DOS(E_F): 0.544 states/eV/atom
ΔE to the lowest computed polymorph: 232 meV/atom


Computed volume (Å³/cell) in order:
246.5 95.4 61.2 183.3 222.4 99.8 137.0 117.8 58.4 117.1 103.6 57.8
Computed DFT formation energy (meV/atom) in order:
-430 7 22 114 960 2947 1450 -20 -162 -35 2305 198